[1]
{
  "formula": "KBa2Sn2",
  "functional": "GGA-PBEsol",
  "state": "optimized geometry",
  "lattice": [[6.003, 0.000, 0.000], [0.000, 6.003, 0.000], [0.000, 0.000, 12.777]],
  "species": ["K", "K", "Ba", "Ba", "Ba", "Ba", "Sn", "Sn", "Sn", "Sn"],
  "fractional_positions": [[0.000, 0.000, 0.000], [0.500, 0.500, 0.500], [0.000, 0.000, 0.356], [0.000, 0.000, 0.644], [0.500, 0.500, 0.144], [0.500, 0.500, 0.856], [0.000, 0.500, 0.250], [0.000, 0.500, 0.750], [0.500, 0.000, 0.250], [0.500, 0.000, 0.750]],
  "total_magnetization_mub_per_cell": 0.000,
  "spacegroup": "I4/mmm",
  "rho_g_cm3": 3.98,
  "energy_ev_per_atom": -2.897,
  "e_form_ev_per_fu": -0.5
}

---

[2]
{
  "formula": "K2BaSrSn",
  "functional": "GGA-PBEsol",
  "state": "optimized geometry",
  "lattice": [[6.638, 0.000, 0.000], [0.000, 6.638, 0.000], [0.000, 0.000, 6.159]],
  "species": ["K", "K", "Ba", "Sr", "Sn"],
  "fractional_positions": [[0.000, 0.500, 0.000], [0.500, 0.000, 0.000], [0.000, 0.000, 0.500], [0.500, 0.500, 0.000], [0.500, 0.500, 0.500]],
  "total_magnetization_mub_per_cell": 0.000,
  "spacegroup": "P4/mmm",
  "rho_g_cm3": 2.58,
  "energy_ev_per_atom": -1.788,
  "e_form_ev_per_fu": 1.6
}

---

[3]
{
  "formula": "K2BaSnTe4",
  "functional": "GGA-PBEsol",
  "state": "optimized geometry",
  "lattice": [[8.334, 0.000, 0.000], [0.000, 8.334, 0.000], [0.000, 0.000, 8.283]],
  "species": ["K", "K", "K", "K", "Ba", "Ba", "Sn", "Sn", "Te", "Te", "Te", "Te", "Te", "Te", "Te", "Te"],
  "fractional_positions": [[0.000, 0.500, 0.000], [0.000, 0.500, 0.500], [0.500, 0.000, 0.000], [0.500, 0.000, 0.500], [0.000, 0.000, 0.000], [0.500, 0.500, 0.500], [0.000, 0.000, 0.500], [0.500, 0.500, 0.000], [0.194, 0.194, 0.306], [0.194, 0.806, 0.694], [0.306, 0.306, 0.806], [0.306, 0.694, 0.194], [0.694, 0.306, 0.194], [0.694, 0.694, 0.806], [0.806, 0.194, 0.694], [0.806, 0.806, 0.306]],
  "total_magnetization_mub_per_cell": 0.001,
  "spacegroup": "I-42m",
  "rho_g_cm3": 4.88,
  "energy_ev_per_atom": -3.778,
  "e_form_raw_ev_per_atom": -0.93
}

---

[4]
{
  "formula": "KBaSr2",
  "functional": "GGA-PBEsol",
  "state": "optimized geometry",
  "lattice": [[4.173, 0.000, 0.000], [0.000, 6.880, 0.000], [-1.339, 0.000, 7.959]],
  "species": ["K", "Ba", "Sr", "Sr"],
  "fractional_positions": [[0.000, 0.000, 0.000], [0.243, 0.500, 0.743], [0.514, 0.000, 0.495], [0.783, 0.500, 0.257]],
  "total_magnetization_mub_per_cell": 0.000,
  "spacegroup": "Pm",
  "rho_g_cm3": 2.56,
  "energy_ev_per_atom": -1.655,
  "e_form_ev_per_fu": 0.3,
  "relative_energy_mev_per_atom": 33
}

---

[5]
{
  "formula": "KBaSr2",
  "functional": "GGA-PBEsol",
  "state": "optimized geometry",
  "lattice": [[4.874, 0.000, 0.000], [0.000, 4.874, 0.000], [0.000, 0.000, 9.650]],
  "species": ["K", "Ba", "Sr", "Sr"],
  "fractional_positions": [[0.000, 0.000, 0.000], [0.000, 0.000, 0.500], [0.500, 0.500, 0.261], [0.500, 0.500, 0.739]],
  "total_magnetization_mub_per_cell": 0.001,
  "spacegroup": "P4/mmm",
  "rho_g_cm3": 2.55,
  "energy_ev_per_atom": -1.654,
  "e_form_ev_per_fu": 0.3,
  "relative_energy_mev_per_atom": 34
}

---

[6]
{
  "formula": "K2BaSr2",
  "functional": "GGA-PBEsol",
  "state": "optimized geometry",
  "lattice": [[5.788, 0.000, 0.000], [0.000, 5.788, 0.000], [0.000, 0.000, 18.606]],
  "species": ["K", "K", "K", "K", "Ba", "Ba", "Sr", "Sr", "Sr", "Sr"],
  "fractional_positions": [[0.000, 0.000, 0.096], [0.000, 0.000, 0.904], [0.500, 0.500, 0.404], [0.500, 0.500, 0.596], [0.000, 0.000, 0.500], [0.500, 0.500, 0.000], [0.000, 0.500, 0.250], [0.000, 0.500, 0.750], [0.500, 0.000, 0.250], [0.500, 0.000, 0.750]],
  "total_magnetization_mub_per_cell": 0.016,
  "spacegroup": "I4/mmm",
  "rho_g_cm3": 2.08,
  "energy_ev_per_atom": -1.339,
  "e_form_ev_per_fu": 1.4
}

---

[7]
{
  "formula": "KBaSr2",
  "functional": "GGA-PBEsol",
  "state": "optimized geometry",
  "lattice": [[4.825, 0.000, 0.000], [0.000, 4.825, 0.000], [0.000, 0.000, 9.880]],
  "species": ["K", "Ba", "Sr", "Sr"],
  "fractional_positions": [[0.000, 0.000, 0.000], [0.500, 0.500, 0.727], [0.000, 0.000, 0.485], [0.500, 0.500, 0.259]],
  "total_magnetization_mub_per_cell": 0.003,
  "spacegroup": "P4mm",
  "rho_g_cm3": 2.54,
  "energy_ev_per_atom": -1.655,
  "e_form_ev_per_fu": 0.3,
  "relative_energy_mev_per_atom": 33
}

---

[8]
{
  "formula": "KBaSr2",
  "functional": "GGA-PBEsol",
  "state": "optimized geometry",
  "lattice": [[14.347, 0.000, 0.000], [0.000, 4.243, 0.000], [-1.121, 0.000, 7.517]],
  "species": ["K", "K", "Ba", "Ba", "Sr", "Sr", "Sr", "Sr"],
  "fractional_positions": [[0.000, 0.000, 0.000], [0.500, 0.500, 0.000], [0.247, 0.000, 0.742], [0.747, 0.500, 0.742], [0.250, 0.500, 0.256], [0.496, 0.000, 0.494], [0.750, 0.000, 0.256], [0.996, 0.500, 0.494]],
  "total_magnetization_mub_per_cell": 0.000,
  "spacegroup": "Cm",
  "rho_g_cm3": 2.55,
  "energy_ev_per_atom": -1.657,
  "e_form_ev_per_fu": 0.3,
  "relative_energy_mev_per_atom": 32
}